DFT (PBE) results for a geometry-optimized BeTeN2O structure.

Computed properties:
Space-group type: P4/mmm (123)
Magnetization, μB per cell: 0.2
Formation energy (no corrections), meV/atom: 930

Cell: 3.280 3.280 5.682 Å, 90.00 90.00 90.00°
Sites, in units of the cell vectors:
Be (0.000, 0.000, 0.000)
Te (0.000, 0.000, 0.500)
N (0.000, 0.500, 0.000)
N (0.500, 0.000, 0.000)
O (0.500, 0.500, 0.500)